Record 1
First-principles (PBE) data for crystalline Nd3CdAu4 at its relaxed geometry, as listed in Alexandria via LeMat-Bulk.

Results
- Calculated total energy: -0.1530 Ha/atom
- Total magnetic moment: 0.000 μB per formula unit
- Formation enthalpy at 0 K: -481 kJ/mol of formula units

a b c (Å): 4.025 7.152 14.936
angles (deg): 90.00 90.00 90.00
Space group Immm (No. 71)
Symmetry-distinct sites (fractional):
Nd  0.000  0.000  0.000
Nd  0.000  0.500  0.191
Cd  0.000  0.000  0.500
Au  0.000  0.300  0.371



Record 2
First-principles (PBE) data for crystalline Nd3Cd2Au2 at its relaxed geometry, as listed in Alexandria via LeMat-Bulk.

Results
- Calculated total energy: -0.1350 Ha/atom
- Total magnetic moment: 0.000 μB per formula unit
- Formation enthalpy at 0 K: -292 kJ/mol of formula units

a b c (Å): 5.1687 5.1687 27.1276
angles (deg): 90.00 90.00 120.00
Space group R-3m (No. 166, hexagonal axes)
Symmetry-distinct sites (fractional):
Nd  0.0000  0.0000  0.0000
Nd  0.0000  0.0000  0.2181
Cd  0.0000  0.0000  0.3905
Au  0.0000  0.0000  0.1077



Record 3
First-principles (PBE) data for crystalline Nd7Cd2Au2 at its relaxed geometry, as listed in Alexandria via LeMat-Bulk.

Results
- Calculated total energy: -0.1472 Ha/atom
- Total magnetic moment: 0.000 μB per formula unit
- Formation enthalpy at 0 K: -223 kJ/mol of formula units

a b c (Å): 8.302 11.424 7.555
angles (deg): 90.00 90.00 90.00
Space group Cmmm (No. 65)
Symmetry-distinct sites (fractional):
Nd  0.000  0.000  0.000
Nd  0.000  0.500  0.258
Nd  0.250  0.250  0.269
Cd  0.169  0.000  0.500
Au  0.000  0.292  0.000



Record 4
First-principles (PBE) data for crystalline Nd4CdAu7 at its relaxed geometry, as listed in Alexandria via LeMat-Bulk.

Results
- Calculated total energy: -0.1540 Ha/atom
- Total magnetic moment: 0.000 μB per formula unit
- Formation enthalpy at 0 K: -709 kJ/mol of formula units

a b c (Å): 14.799 5.166 9.312
angles (deg): 90.00 121.85 90.00
Space group C2/m (No. 12)
Symmetry-distinct sites (fractional):
Nd  0.062  0.000  0.247
Nd  0.230  0.000  0.759
Cd  0.000  0.500  0.500
Au  0.000  0.000  0.500
Au  0.096  0.500  0.862
Au  0.171  0.000  0.049
Au  0.194  0.500  0.490



Record 5
First-principles (PBE) data for crystalline Nd6Cd5Au at its relaxed geometry, as listed in Alexandria via LeMat-Bulk.

Results
- Calculated total energy: -0.1259 Ha/atom
- Total magnetic moment: 1.025 μB per formula unit
- Formation enthalpy at 0 K: -447 kJ/mol of formula units

a b c (Å): 5.404 7.678 16.244
angles (deg): 90.00 90.00 90.00
Space group Immm (No. 71)
Symmetry-distinct sites (fractional):
Nd  0.000  0.239  0.000
Nd  0.000  0.257  0.338
Cd  0.000  0.000  0.178
Cd  0.000  0.000  0.500
Cd  0.000  0.500  0.168
Au  0.000  0.500  0.500



Record 6
First-principles (PBE) data for crystalline Nd2Cd3Au at its relaxed geometry, as listed in Alexandria via LeMat-Bulk.

Results
- Calculated total energy: -0.1121 Ha/atom
- Total magnetic moment: 0.002 μB per formula unit
- Formation enthalpy at 0 K: -265 kJ/mol of formula units

a b c (Å): 3.510 4.988 8.641
angles (deg): 90.00 90.00 90.00
Space group Pmm2 (No. 25)
Symmetry-distinct sites (fractional):
Nd  0.000  0.000  0.000
Nd  0.000  0.500  0.466
Cd  0.500  0.000  0.650
Cd  0.500  0.500  0.146
Cd  0.500  0.500  0.812
Au  0.500  0.000  0.317